Entry 1:
Here is Cr3AgPt after structural relaxation from Alexandria. Energies are from GGA-PBE.

The energy above the most stable polymorph in this dataset comes out at 0.0 meV/atom. The magnetic moment is 12.0 μB/f.u. Its formation energy is 1136 meV per atom. The calculation puts the volume at 116 Å³/cell. Its raw total energy is -6.416 eV/atom.

It has space group Pm-3m (No. 221), with a = 4.873 Å, b = 4.873 Å, c = 4.873 Å, α = 90.00°, β = 90.00° and γ = 90.00°. The inequivalent atoms are Cr at (0.000, 0.000, 0.500), Ag at (0.500, 0.500, 0.500) and Pt at (0.000, 0.000, 0.000).


Entry 2:
Here is CrAgPt2 after structural relaxation from Alexandria. Energies are from GGA-PBE.

The energy above the most stable polymorph in this dataset comes out at 126.5 meV/atom. The magnetic moment is 3.6 μB/f.u. Its formation energy is -12 meV per atom. The calculation puts the volume at 126 Å³/cell. Its raw total energy is -6.151 eV/atom.

It has space group Cmmm (No. 65), with a = 5.667 Å, b = 7.775 Å, c = 2.865 Å, α = 90.00°, β = 90.00° and γ = 90.00°. The inequivalent atoms are Cr at (0.000, 0.000, 0.000), Ag at (0.000, 0.500, 0.000) and Pt at (0.250, 0.250, 0.500).


Entry 3:
Here is Cr2AgPt after structural relaxation from Alexandria. Energies are from GGA-PBE.

The magnetic moment is 0.3 μB/f.u. Its formation energy is 179 meV per atom. The calculation puts the volume at 121 Å³/cell. Its raw total energy is -6.855 eV/atom.

It has space group Imm2 (No. 44), with a = 2.964 Å, b = 4.552 Å, c = 8.994 Å, α = 90.00°, β = 90.00° and γ = 90.00°. The inequivalent atoms are Cr at (0.000, 0.000, 0.000), Cr at (0.000, 0.500, 0.293), Ag at (0.000, 0.000, 0.527) and Pt at (0.000, 0.500, 0.751).


Entry 4:
Here is CrAgPt2 after structural relaxation from Alexandria. Energies are from GGA-PBE.

The energy above the most stable polymorph in this dataset comes out at 410.6 meV/atom. The magnetic moment is 0.0 μB/f.u. Its formation energy is 272 meV per atom. The calculation puts the volume at 246 Å³/cell. Its raw total energy is -5.867 eV/atom.

It has space group Fm-3m (No. 225), with a = 6.264 Å, b = 6.264 Å, c = 6.264 Å, α = 90.00°, β = 90.00° and γ = 90.00°. The inequivalent atoms are Cr at (0.000, 0.000, 0.000), Ag at (0.000, 0.000, 0.500) and Pt at (0.250, 0.250, 0.250).